# 1
DFT (PBE) results for a geometry-optimized GaReSn2C structure.

Results
V = 25.0 A^3/atom
DOS(E_F) = 5.05 states/eV/cell
Total DFT energy (no corrections) = -20.4 eV for the cell shown
Calculated density = 6.71 g cm⁻³
E_form = 2.461 eV per atom

Structure (CIF):
```
data_GaReSn2C
_symmetry_space_group_name_H-M 'P 4/m m m'
_symmetry_Int_Tables_number 123
_symmetry_space_group_name_Hall '-P 4 2'
_cell_length_a 5.174
_cell_length_b 5.174
_cell_length_c 4.670
_cell_angle_alpha 90.00
_cell_angle_beta 90.00
_cell_angle_gamma 90.00
loop_
_atom_site_label
_atom_site_fract_x
_atom_site_fract_y
_atom_site_fract_z
_atom_site_occupancy
Ga1 0.000 0.000 0.000 1
Re1 0.000 0.000 0.500 1
Sn1 0.000 0.500 0.000 1
C1 0.500 0.500 0.500 1
```



# 2
DFT (PBE) results for a geometry-optimized Y2GaReC structure.

Results
V = 19.4 A^3/atom
DOS(E_F) = 1.85 states/eV/cell
Total DFT energy (no corrections) = -39.5 eV for the cell shown
Calculated density = 7.62 g cm⁻³
E_form = -0.366 eV per atom

Structure (CIF):
```
data_Y2GaReC
_symmetry_space_group_name_H-M 'P 4/m m m'
_symmetry_Int_Tables_number 123
_symmetry_space_group_name_Hall '-P 4 2'
_cell_length_a 4.939
_cell_length_b 4.939
_cell_length_c 3.982
_cell_angle_alpha 90.00
_cell_angle_beta 90.00
_cell_angle_gamma 90.00
loop_
_atom_site_label
_atom_site_fract_x
_atom_site_fract_y
_atom_site_fract_z
_atom_site_occupancy
Y1 0.000 0.500 0.000 1
Ga1 0.000 0.000 0.500 1
Re1 0.500 0.500 0.500 1
C1 0.500 0.500 0.000 1
```



# 3
DFT (PBE) results for a geometry-optimized GaRh3C structure.

Results
V = 18.6 A^3/atom
DOS(E_F) = 7.11 states/eV/cell
Total DFT energy (no corrections) = -23.7 eV for the cell shown
Calculated density = 6.97 g cm⁻³
E_form = 2.118 eV per atom

Structure (CIF):
```
data_GaRh3C
_symmetry_space_group_name_H-M 'P m -3 m'
_symmetry_Int_Tables_number 221
_symmetry_space_group_name_Hall '-P 4 2 3'
_cell_length_a 4.532
_cell_length_b 4.532
_cell_length_c 4.532
_cell_angle_alpha 90.00
_cell_angle_beta 90.00
_cell_angle_gamma 90.00
loop_
_atom_site_label
_atom_site_fract_x
_atom_site_fract_y
_atom_site_fract_z
_atom_site_occupancy
Ga1 0.000 0.000 0.000 1
Rh1 0.000 0.000 0.500 1
C1 0.500 0.500 0.500 1
```



# 4
DFT (PBE) results for a geometry-optimized GaRh2C structure.

Results
V = 15.9 A^3/atom
DOS(E_F) = 10.38 states/eV/cell
Total DFT energy (no corrections) = -104.6 eV for the cell shown
Calculated density = 7.49 g cm⁻³
E_form = 0.204 eV per atom

Structure (CIF):
```
data_GaRh2C
_symmetry_space_group_name_H-M 'I -4 2 d'
_symmetry_Int_Tables_number 122
_symmetry_space_group_name_Hall 'I -4 2bw'
_cell_length_a 5.221
_cell_length_b 5.221
_cell_length_c 9.354
_cell_angle_alpha 90.00
_cell_angle_beta 90.00
_cell_angle_gamma 90.00
loop_
_atom_site_label
_atom_site_fract_x
_atom_site_fract_y
_atom_site_fract_z
_atom_site_occupancy
Ga1 0.000 0.000 0.000 1
Rh1 0.160 0.250 0.625 1
C1 0.000 0.000 0.500 1
```



# 5
DFT (PBE) results for a geometry-optimized GaRh3C structure.

Results
V = 13.4 A^3/atom
DOS(E_F) = 0.47 states/eV/cell
Total DFT energy (no corrections) = -34.9 eV for the cell shown
Calculated density = 9.71 g cm⁻³
E_form = -0.115 eV per atom

Structure (CIF):
```
data_GaRh3C
_symmetry_space_group_name_H-M 'P m -3 m'
_symmetry_Int_Tables_number 221
_symmetry_space_group_name_Hall '-P 4 2 3'
_cell_length_a 4.057
_cell_length_b 4.057
_cell_length_c 4.057
_cell_angle_alpha 90.00
_cell_angle_beta 90.00
_cell_angle_gamma 90.00
loop_
_atom_site_label
_atom_site_fract_x
_atom_site_fract_y
_atom_site_fract_z
_atom_site_occupancy
Ga1 0.000 0.000 0.000 1
Rh1 0.000 0.500 0.500 1
C1 0.500 0.500 0.500 1
```



# 6
DFT (PBE) results for a geometry-optimized TiGaRhC2 structure.

Results
V = 15.7 A^3/atom
DOS(E_F) = 4.18 states/eV/cell
Total DFT energy (no corrections) = -30.2 eV for the cell shown
Calculated density = 5.18 g cm⁻³
E_form = 1.309 eV per atom

Structure (CIF):
```
data_TiGaRhC2
_symmetry_space_group_name_H-M 'P 4/m m m'
_symmetry_Int_Tables_number 123
_symmetry_space_group_name_Hall '-P 4 2'
_cell_length_a 3.890
_cell_length_b 3.890
_cell_length_c 5.185
_cell_angle_alpha 90.00
_cell_angle_beta 90.00
_cell_angle_gamma 90.00
loop_
_atom_site_label
_atom_site_fract_x
_atom_site_fract_y
_atom_site_fract_z
_atom_site_occupancy
Ti1 0.000 0.000 0.000 1
Ga1 0.500 0.500 0.000 1
Rh1 0.000 0.000 0.500 1
C1 0.000 0.500 0.500 1
```



# 7
DFT (PBE) results for a geometry-optimized Ga2RuC structure.

Results
V = 14.4 A^3/atom
DOS(E_F) = 10.05 states/eV/cell
Total DFT energy (no corrections) = -88.1 eV for the cell shown
Calculated density = 7.29 g cm⁻³
E_form = 0.631 eV per atom

Structure (CIF):
```
data_Ga2RuC
_symmetry_space_group_name_H-M 'I -4 2 d'
_symmetry_Int_Tables_number 122
_symmetry_space_group_name_Hall 'I -4 2bw'
_cell_length_a 7.487
_cell_length_b 7.487
_cell_length_c 4.104
_cell_angle_alpha 90.00
_cell_angle_beta 90.00
_cell_angle_gamma 90.00
loop_
_atom_site_label
_atom_site_fract_x
_atom_site_fract_y
_atom_site_fract_z
_atom_site_occupancy
Ga1 0.136 0.250 0.125 1
Ru1 0.000 0.000 0.500 1
C1 0.000 0.000 0.000 1
```



# 8
DFT (PBE) results for a geometry-optimized GaRu3C structure.

Results
V = 18.3 A^3/atom
DOS(E_F) = 7.49 states/eV/cell
Total DFT energy (no corrections) = -26.6 eV for the cell shown
Calculated density = 6.97 g cm⁻³
E_form = 2.701 eV per atom

Structure (CIF):
```
data_GaRu3C
_symmetry_space_group_name_H-M 'P m -3 m'
_symmetry_Int_Tables_number 221
_symmetry_space_group_name_Hall '-P 4 2 3'
_cell_length_a 4.509
_cell_length_b 4.509
_cell_length_c 4.509
_cell_angle_alpha 90.00
_cell_angle_beta 90.00
_cell_angle_gamma 90.00
loop_
_atom_site_label
_atom_site_fract_x
_atom_site_fract_y
_atom_site_fract_z
_atom_site_occupancy
Ga1 0.000 0.000 0.000 1
Ru1 0.000 0.000 0.500 1
C1 0.500 0.500 0.500 1
```



# 9
DFT (PBE) results for a geometry-optimized ScGaRu2C structure.

Results
V = 14.3 A^3/atom
DOS(E_F) = 2.84 states/eV/cell
Total DFT energy (no corrections) = -38.2 eV for the cell shown
Calculated density = 7.66 g cm⁻³
E_form = -0.223 eV per atom

Structure (CIF):
```
data_ScGaRu2C
_symmetry_space_group_name_H-M 'P 4/m m m'
_symmetry_Int_Tables_number 123
_symmetry_space_group_name_Hall '-P 4 2'
_cell_length_a 4.073
_cell_length_b 4.073
_cell_length_c 4.297
_cell_angle_alpha 90.00
_cell_angle_beta 90.00
_cell_angle_gamma 90.00
loop_
_atom_site_label
_atom_site_fract_x
_atom_site_fract_y
_atom_site_fract_z
_atom_site_occupancy
Sc1 0.000 0.000 0.000 1
Ga1 0.500 0.500 0.000 1
Ru1 0.000 0.500 0.500 1
C1 0.000 0.000 0.500 1
```



# 10
DFT (PBE) results for a geometry-optimized ScGaRu2C structure.

Results
V = 14.4 A^3/atom
DOS(E_F) = 11.56 states/eV/cell
Total DFT energy (no corrections) = -155.4 eV for the cell shown
Calculated density = 7.58 g cm⁻³
E_form = -0.344 eV per atom

Structure (CIF):
```
data_ScGaRu2C
_symmetry_space_group_name_H-M 'C m c m'
_symmetry_Int_Tables_number 63
_symmetry_space_group_name_Hall '-C 2c 2'
_cell_length_a 3.102
_cell_length_b 12.347
_cell_length_c 7.528
_cell_angle_alpha 90.00
_cell_angle_beta 90.00
_cell_angle_gamma 90.00
loop_
_atom_site_label
_atom_site_fract_x
_atom_site_fract_y
_atom_site_fract_z
_atom_site_occupancy
Sc1 0.000 0.024 0.250 1
Ga1 0.000 0.259 0.750 1
Ru1 0.000 0.353 0.044 1
C1 0.000 0.500 0.000 1
```



# 11
DFT (PBE) results for a geometry-optimized Ga2SiRuC structure.

Results
V = 21.3 A^3/atom
DOS(E_F) = 2.25 states/eV/cell
Total DFT energy (no corrections) = -23.9 eV for the cell shown
ΔE_f (raw) = 1206 meV/atom
Calculated density = 4.37 g cm⁻³

Structure (CIF):
```
data_Ga2SiRuC
_symmetry_space_group_name_H-M 'P 4/m m m'
_symmetry_Int_Tables_number 123
_symmetry_space_group_name_Hall '-P 4 2'
_cell_length_a 4.847
_cell_length_b 4.847
_cell_length_c 4.534
_cell_angle_alpha 90.00
_cell_angle_beta 90.00
_cell_angle_gamma 90.00
loop_
_atom_site_label
_atom_site_fract_x
_atom_site_fract_y
_atom_site_fract_z
_atom_site_occupancy
Ga1 0.000 0.500 0.000 1
Si1 0.000 0.000 0.500 1
Ru1 0.000 0.000 0.000 1
C1 0.500 0.500 0.500 1
```



# 12
DFT (PBE) results for a geometry-optimized SmGa2Ru2C structure.

Results
V = 15.8 A^3/atom
DOS(E_F) = 2.39 states/eV/cell
Total DFT energy (no corrections) = -41.0 eV for the cell shown
Calculated density = 8.82 g cm⁻³
E_form = -0.414 eV per atom

Structure (CIF):
```
data_SmGa2Ru2C
_symmetry_space_group_name_H-M 'P 4/m m m'
_symmetry_Int_Tables_number 123
_symmetry_space_group_name_Hall '-P 4 2'
_cell_length_a 4.113
_cell_length_b 4.113
_cell_length_c 5.612
_cell_angle_alpha 90.00
_cell_angle_beta 90.00
_cell_angle_gamma 90.00
loop_
_atom_site_label
_atom_site_fract_x
_atom_site_fract_y
_atom_site_fract_z
_atom_site_occupancy
Sm1 0.000 0.000 0.000 1
Ga1 0.500 0.500 0.220 1
Ru1 0.000 0.500 0.500 1
C1 0.000 0.000 0.500 1
```



> Which of these has the lowest total DFT energy (no corrections)?

number 10



Repeat the fifth record exactly.
DFT (PBE) results for a geometry-optimized GaRh3C structure.

Results
V = 13.4 A^3/atom
DOS(E_F) = 0.47 states/eV/cell
Total DFT energy (no corrections) = -34.9 eV for the cell shown
Calculated density = 9.71 g cm⁻³
E_form = -0.115 eV per atom

Structure (CIF):
```
data_GaRh3C
_symmetry_space_group_name_H-M 'P m -3 m'
_symmetry_Int_Tables_number 221
_symmetry_space_group_name_Hall '-P 4 2 3'
_cell_length_a 4.057
_cell_length_b 4.057
_cell_length_c 4.057
_cell_angle_alpha 90.00
_cell_angle_beta 90.00
_cell_angle_gamma 90.00
loop_
_atom_site_label
_atom_site_fract_x
_atom_site_fract_y
_atom_site_fract_z
_atom_site_occupancy
Ga1 0.000 0.000 0.000 1
Rh1 0.000 0.500 0.500 1
C1 0.500 0.500 0.500 1
```



Please write out number 6 again, unchanged.
DFT (PBE) results for a geometry-optimized TiGaRhC2 structure.

Results
V = 15.7 A^3/atom
DOS(E_F) = 4.18 states/eV/cell
Total DFT energy (no corrections) = -30.2 eV for the cell shown
Calculated density = 5.18 g cm⁻³
E_form = 1.309 eV per atom

Structure (CIF):
```
data_TiGaRhC2
_symmetry_space_group_name_H-M 'P 4/m m m'
_symmetry_Int_Tables_number 123
_symmetry_space_group_name_Hall '-P 4 2'
_cell_length_a 3.890
_cell_length_b 3.890
_cell_length_c 5.185
_cell_angle_alpha 90.00
_cell_angle_beta 90.00
_cell_angle_gamma 90.00
loop_
_atom_site_label
_atom_site_fract_x
_atom_site_fract_y
_atom_site_fract_z
_atom_site_occupancy
Ti1 0.000 0.000 0.000 1
Ga1 0.500 0.500 0.000 1
Rh1 0.000 0.000 0.500 1
C1 0.000 0.500 0.500 1
```



> Which of these has the lowest V?

number 5